## InFeNi (GGA-PBE)

Data for a relaxed structure of InFeNi.

Calculated volume (Å³/atom): 14.61
Total moment (μB/atom): 0.849
Energy relative to the lowest polymorph listed for this composition (eV per formula unit): 0.51

abc: 4.4015 4.4015 5.2238
angles: 90.00 90.00 120.00
Each line ends with the local moment (μB).
Element x y z (fractional)
Fe: 0.6667 0.3333 0.2500  2.42
Fe: 0.3333 0.6667 0.7500  2.42
In: 0.3333 0.6667 0.2500  -0.08
Ni: 0.0000 0.0000 0.0000  0.22
Ni: 0.0000 0.0000 0.5000  0.23
In: 0.6667 0.3333 0.7500  -0.08